The following is a DFT calculation (PBE) of an optimized crystal structure of MoPb2W.

Computed properties:
total DFT energy (no corrections)	-6.677	eV/atom
SG	Pmmm, No. 47

Cell lengths 3.4203, 5.1623, 4.6526 Å; angles 90.00, 90.00, 90.00 degrees
Last column: nearest neighbours and their distance in Å.
Atoms (fractional coordinates):
Mo  0.0000  0.5000  0.5000  4 Pb 2.89, 4 W 3.10
Pb  0.0000  0.0000  0.0000  4 W 2.89, 4 Pb 3.10
Pb  0.5000  0.5000  0.0000  4 Mo 2.89, 4 Pb 3.10
W  0.5000  0.0000  0.5000  4 Pb 2.89, 4 Mo 3.10